# CoIrRhO6

A geometry-optimized CoIrRhO6 structure (PBE+U, Alexandria via LeMat-Bulk).

abc: 5.092 5.092 8.746
angles: 90.00 90.00 120.00
Site moments in Bohr magnetons follow the coordinates.
Positions (direct):
O1 0.352 0.346 0.374  -0.04
O2 0.648 0.654 0.626  -0.04
O3 0.006 0.352 0.626  -0.04
O4 0.654 0.006 0.374  -0.04
O5 0.648 0.994 0.874  -0.04
O6 0.654 0.648 0.126  -0.04
O7 0.006 0.654 0.874  -0.04
O8 0.994 0.346 0.126  -0.04
O9 0.352 0.006 0.126  -0.04
O10 0.346 0.994 0.626  -0.04
O11 0.994 0.648 0.374  -0.04
O12 0.346 0.352 0.874  -0.04
Rh1 0.667 0.333 0.750  -0.14
Rh2 0.333 0.667 0.250  -0.14
Ir1 0.333 0.667 0.750  -0.49
Ir2 0.667 0.333 0.250  -0.49
Co1 0.000 0.000 0.000  2.60
Co2 0.000 0.000 0.500  2.60

## Properties
For the raw total energy, the calculation gives -6.36 eV per atom. As for the density of states at the Fermi level: 14.80 states/eV per cell. The value obtained for the density is 7.612 Mg/m³.